# 1
RbTc3Sn | PBE | optimized geometry

Lattice parameters (Å, degrees): 4.825 4.825 4.825 90.00 90.00 90.00
Atoms (fractional coordinates):
Rb  0.000  0.000  0.000
Tc  0.000  0.000  0.500
Tc  0.000  0.500  0.000
Tc  0.500  0.000  0.000
Sn  0.500  0.500  0.500

Calculated values
DOS(E_F) (states/eV/f.u.): 7.14
Electronic total energy (eV/atom): -4.20
E_form (eV/atom): 3.018
Distance to the lowest polymorph of the same formula (eV/atom): 1.029
SG: Pm-3m

# 2
PaFe4Ge4 | PBE | optimized geometry

Lattice parameters (Å, degrees): 5.699 5.699 8.304 90.00 90.00 90.00
Atoms (fractional coordinates):
Pa  0.250  0.750  0.250
Pa  0.750  0.250  0.750
Fe  0.038  0.250  0.150
Fe  0.250  0.038  0.650
Fe  0.250  0.462  0.650
Fe  0.462  0.250  0.150
Fe  0.538  0.750  0.850
Fe  0.750  0.538  0.350
Fe  0.750  0.962  0.350
Fe  0.962  0.750  0.850
Ge  0.030  0.250  0.436
Ge  0.250  0.030  0.936
Ge  0.250  0.470  0.936
Ge  0.470  0.250  0.436
Ge  0.530  0.750  0.564
Ge  0.750  0.530  0.064
Ge  0.750  0.970  0.064
Ge  0.970  0.750  0.564

Calculated values
DOS(E_F) (states/eV/f.u.): 9.30
Electronic total energy (eV/atom): -6.98
E_form (eV/atom): -0.109
SG: P4_2/nmc

# 3
Li4HgOs | PBE | optimized geometry

Lattice parameters (Å, degrees): 4.901 4.901 4.901 60.00 60.00 60.00
Atoms (fractional coordinates):
Li  0.123  0.123  0.123
Li  0.123  0.123  0.632
Li  0.123  0.632  0.123
Li  0.632  0.123  0.123
Hg  0.500  0.500  0.500
Os  0.750  0.750  0.750

Calculated values
DOS(E_F) (states/eV/f.u.): 1.77
Electronic total energy (eV/atom): -2.91
E_form (eV/atom): 0.290
SG: F-43m

# 4
LaCr2As2 | PBE | optimized geometry

Lattice parameters (Å, degrees): 5.320 5.320 5.320 127.72 127.72 77.09
Atoms (fractional coordinates):
La  0.000  0.000  0.000
Cr  0.385  0.385  0.000
Cr  0.615  0.615  0.000
As  0.250  0.750  0.500
As  0.750  0.250  0.500

Calculated values
DOS(E_F) (states/eV/f.u.): 3.99
Electronic total energy (eV/atom): -7.14
E_form (eV/atom): -0.450
Distance to the lowest polymorph of the same formula (eV/atom): 0.000
SG: I4/mmm